Record 1
The following is a PBEsol calculation of crystalline KLiCl2 at its relaxed geometry, from Alexandria.

a b c (Å): 7.031 7.031 4.322
angles (deg): 94.58 94.58 31.83
Atoms (fractional coordinates):
K: 0.000 0.000 0.000
Li: 0.261 0.261 0.295
Cl: 0.422 0.422 0.483
Cl: 0.686 0.686 0.100

Values from the calculation:
Space-group type ... Cm (8)
VASP energy ... -14.309 eV for the cell shown
E_form (uncorrected) ... -1.798 eV/atom

***

Record 2
The following is a PBEsol calculation of crystalline K3LiCl at its relaxed geometry, from Alexandria.

a b c (Å): 6.149 6.149 6.149
angles (deg): 90.00 90.00 90.00
Atoms (fractional coordinates):
K: 0.000 0.000 0.500
K: 0.000 0.500 0.000
K: 0.500 0.000 0.000
Li: 0.500 0.500 0.500
Cl: 0.000 0.000 0.000

Values from the calculation:
Space-group type ... Pm-3m (221)
VASP energy ... -10.603 eV for the cell shown
E_form (uncorrected) ... -0.646 eV/atom

***

Record 3
The following is a PBEsol calculation of crystalline KLi3Cl at its relaxed geometry, from Alexandria.

a b c (Å): 5.235 5.235 5.235
angles (deg): 90.00 90.00 90.00
Atoms (fractional coordinates):
K: 0.000 0.000 0.000
Li: 0.000 0.500 0.500
Li: 0.500 0.000 0.500
Li: 0.500 0.500 0.000
Cl: 0.500 0.500 0.500

Values from the calculation:
Space-group type ... Pm-3m (221)
VASP energy ... -11.152 eV for the cell shown
E_form (uncorrected) ... -0.422 eV/atom

***

Record 4
The following is a PBEsol calculation of crystalline K2LiLuCl6 at its relaxed geometry, from Alexandria.

a b c (Å): 7.119 7.119 7.119
angles (deg): 60.00 60.00 60.00
Atoms (fractional coordinates):
K: 0.250 0.250 0.250
K: 0.750 0.750 0.750
Li: 0.000 0.000 0.000
Lu: 0.500 0.500 0.500
Cl: 0.248 0.248 0.752
Cl: 0.248 0.752 0.248
Cl: 0.248 0.752 0.752
Cl: 0.752 0.248 0.248
Cl: 0.752 0.248 0.752
Cl: 0.752 0.752 0.248

Values from the calculation:
Space-group type ... Fm-3m (225)
VASP energy ... -41.912 eV for the cell shown
E_form (uncorrected) ... -2.076 eV/atom

***

no.,theoretical density (g/cm3),magnetic moment (μB/f.u.)
1,1.73,0.00
2,1.14,0.00
3,1.10,0.01
4,3.08,0.00